*a*
Material: K12Na6Tl
Method: DFT, PBE-GGA
State: optimized geometry

```
19
Lattice="6.5306 3.7704 7.4278 -6.5306 3.7704 7.4278 0.0000 -7.5409 7.4278" Properties=species:S:1:pos:R:3 pbc="T T T"
K 0.0000 -2.9793 5.9002
K -2.5801 1.4896 5.9002
K -2.2381 -1.2922 9.4059
K 0.0000 -2.5843 12.8776
K -2.2381 1.2922 12.8776
K -2.5801 -1.4896 16.3833
K 2.5801 1.4896 5.9002
K 2.2381 -1.2922 9.4059
K 0.0000 2.5844 9.4059
K 2.2381 1.2922 12.8776
K 2.5801 -1.4896 16.3833
K 0.0000 2.9793 16.3833
Na -4.5670 -2.6368 12.5542
Na 0.0000 -5.2735 9.7293
Na -4.5670 2.6368 9.7293
Na 4.5670 -2.6368 12.5542
Na 0.0000 5.2735 12.5542
Na 4.5670 2.6368 9.7293
Tl 0.0000 0.0000 0.0000
```

Output
The total magnetization comes out at 0.000 μB per formula unit. As for the space group: R-3m (166). As for the density of states at the Fermi level: 0.53 states/eV per atom.


*b*
Material: K12Na6Tl
Method: DFT, PBE-GGA
State: optimized geometry

```
19
Lattice="7.1014 4.1000 6.1127 -7.1014 4.1000 6.1127 0.0000 -8.2000 6.1127" Properties=species:S:1:pos:R:3 pbc="T T T"
K -6.3759 1.4473 7.7761
K -4.4413 -4.7980 10.5620
K -2.3928 -0.4240 5.8807
K 1.9345 -6.2453 7.7761
K 1.5636 -1.8602 5.8807
K 0.8292 2.2842 5.8807
K -0.8292 -2.2842 12.4574
K -1.5636 1.8602 12.4574
K -1.9345 6.2453 10.5620
K 2.3928 0.4240 12.4574
K 4.4413 4.7980 7.7761
K 6.3758 -1.4473 10.5620
Na -1.0178 -3.3616 8.5701
Na -3.4201 -0.7994 9.7681
Na -2.4024 2.5622 8.5701
Na 2.4024 -2.5622 9.7681
Na 3.4201 0.7994 8.5701
Na 1.0178 3.3616 9.7681
Tl 0.0000 0.0000 9.1691
```

Output
The total magnetization comes out at 0.000 μB per formula unit. As for the space group: R-3 (148). As for the density of states at the Fermi level: 0.61 states/eV per atom.


Verdict on stability: *a* comes out at the bottom.


*a*
Material: KNa8Tl2
Method: DFT, PBE-GGA
State: optimized geometry

```
11
Lattice="5.7628 0.0000 0.0000 -0.7240 6.8388 0.0000 -0.5634 -1.7658 9.7319" Properties=species:S:1:pos:R:3 pbc="T T T"
K 0.0000 0.0000 0.0000
Na 0.7531 2.4088 3.9782
Na 0.4282 5.7548 3.9741
Na 1.0879 3.7171 0.8123
Na 0.9637 4.1257 7.2534
Na 3.5116 0.9198 2.4880
Na 3.3755 1.3493 8.9268
Na 4.0384 -0.7082 5.7686
Na 3.7175 2.6389 5.7513
Tl 0.8462 0.7654 7.0408
Tl 3.6260 4.2846 2.6874
```

Output
The total magnetization comes out at 0.000 μB per formula unit. As for the space group: P1 (1). As for the density of states at the Fermi level: 0.48 states/eV per atom.


*b*
Material: KNa8Tl2
Method: DFT, PBE-GGA
State: optimized geometry

```
11
Lattice="4.7734 -7.2273 0.0000 4.7734 7.2273 0.0000 -2.0017 0.0000 6.0960" Properties=species:S:1:pos:R:3 pbc="T T T"
K 0.0000 0.0000 0.0000
Na 0.7460 1.8589 3.6367
Na 4.7734 3.4226 0.0000
Na 0.7460 -1.8589 3.6367
Na 3.6181 0.0000 1.2939
Na 3.9269 0.0000 4.8021
Na 6.7990 1.8589 2.4593
Na 4.7734 -3.4226 0.0000
Na 6.7990 -1.8589 2.4593
Tl 3.7725 2.7369 3.0480
Tl 3.7725 -2.7369 3.0480
```

Output
The total magnetization comes out at 0.000 μB per formula unit. As for the space group: C2/m (12). As for the density of states at the Fermi level: 0.61 states/eV per atom.


Verdict on stability: *b* comes out at the bottom.


*a*
Material: KNa2Tl6
Method: DFT, PBE-GGA
State: optimized geometry

```
18
Lattice="10.4995 0.0000 0.0000 0.0000 10.4995 0.0000 0.0000 0.0000 5.0417" Properties=species:S:1:pos:R:3 pbc="T T T"
K 0.0000 0.0000 0.0000
K 5.2497 5.2497 2.5208
Na 1.9277 1.9277 2.5208
Na 3.3220 7.1775 0.0000
Na 7.1775 3.3220 0.0000
Na 8.5717 8.5717 2.5208
Tl 0.1405 3.5916 0.0000
Tl 1.6581 5.3902 2.5208
Tl 1.7763 8.7232 2.5208
Tl 3.4735 3.4735 0.0000
Tl 3.5916 0.1405 0.0000
Tl 5.1093 8.8413 2.5208
Tl 5.3902 1.6581 2.5208
Tl 6.9079 10.3590 0.0000
Tl 7.0260 7.0260 0.0000
Tl 8.7232 1.7763 2.5208
Tl 8.8413 5.1093 2.5208
Tl 10.3590 6.9079 0.0000
```

Output
The total magnetization comes out at 0.000 μB per formula unit. As for the space group: P4_2/mnm (136). As for the density of states at the Fermi level: 0.69 states/eV per atom.


*b*
Material: KNa2Tl6
Method: DFT, PBE-GGA
State: optimized geometry

```
9
Lattice="-2.7928 3.5436 7.7197 2.7928 -3.5436 7.7197 2.7928 3.5436 -7.7197" Properties=species:S:1:pos:R:3 pbc="T T T"
K 0.0000 0.0000 0.0000
Na 2.7928 0.0000 5.9562
Na 0.0000 3.5436 1.7636
Tl 2.7928 1.7666 -3.0929
Tl 2.7928 2.0187 0.0000
Tl 2.7928 1.7666 3.0929
Tl 0.0000 1.7770 4.6269
Tl 0.0000 1.5249 7.7197
Tl 0.0000 1.7770 10.8126
```

Output
The total magnetization comes out at 0.000 μB per formula unit. As for the space group: Immm (71). As for the density of states at the Fermi level: 0.62 states/eV per atom.


Verdict on stability: *b* comes out at the bottom.


*a*
Material: KNaV2
Method: DFT, PBE-GGA
State: optimized geometry

```
4
Lattice="0.0000 3.8857 3.8857 3.8857 0.0000 3.8857 3.8857 3.8857 0.0000" Properties=species:S:1:pos:R:3 pbc="T T T"
K 0.0000 0.0000 0.0000
Na 3.8857 3.8857 3.8857
V 1.9429 1.9429 1.9429
V 5.8286 5.8286 5.8286
```

Output
The total magnetization comes out at 8.599 μB per formula unit. As for the space group: Fm-3m (225). As for the density of states at the Fermi level: 2.64 states/eV per atom.


*b*
Material: KNaV2
Method: DFT, PBE-GGA
State: optimized geometry

```
8
Lattice="-4.4176 4.4176 2.5481 4.4176 -4.4176 2.5481 4.4176 4.4176 -2.5481" Properties=species:S:1:pos:R:3 pbc="T T T"
K 0.0000 0.0000 0.0000
K 0.0000 4.4176 1.2740
Na 4.4176 0.0000 1.2740
Na 0.0000 0.0000 2.5481
V 2.2088 -2.1355 1.9110
V 2.2822 2.2088 0.6370
V 2.2088 6.5531 -0.6370
V 2.1355 2.2088 3.1851
```

Output
The total magnetization comes out at 3.252 μB per formula unit. As for the space group: I-42d (122). As for the density of states at the Fermi level: 1.50 states/eV per atom.


Verdict on stability: *b* comes out at the bottom.


*a*
Material: KNa3V
Method: DFT, PBE-GGA
State: optimized geometry

```
5
Lattice="5.9420 0.0000 0.0000 0.0000 5.9420 0.0000 0.0000 0.0000 5.9420" Properties=species:S:1:pos:R:3 pbc="T T T"
K 0.0000 0.0000 0.0000
Na 0.0000 0.0000 2.9710
Na 0.0000 2.9710 0.0000
Na 2.9710 0.0000 0.0000
V 2.9710 2.9710 2.9710
```

Output
The total magnetization comes out at 4.540 μB per formula unit. As for the space group: Pm-3m (221). As for the density of states at the Fermi level: 1.31 states/eV per atom.


*b*
Material: KNa3V
Method: DFT, PBE-GGA
State: optimized geometry

```
5
Lattice="6.0280 0.0000 0.0000 0.0000 6.0280 0.0000 0.0000 0.0000 6.0280" Properties=species:S:1:pos:R:3 pbc="T T T"
K 0.0000 0.0000 0.0000
Na 0.0000 3.0140 3.0140
Na 3.0140 0.0000 3.0140
Na 3.0140 3.0140 0.0000
V 3.0140 3.0140 3.0140
```

Output
The total magnetization comes out at 5.005 μB per formula unit. As for the space group: Pm-3m (221). As for the density of states at the Fermi level: 1.88 states/eV per atom.


Verdict on stability: *a* comes out at the bottom.


*a*
Material: KNa2V
Method: DFT, PBE-GGA
State: optimized geometry

```
8
Lattice="-4.6203 4.6203 3.5352 4.6203 -4.6203 3.5352 4.6203 4.6203 -3.5352" Properties=species:S:1:pos:R:3 pbc="T T T"
K 0.0000 0.0000 0.0000
K 0.0000 4.6203 1.7676
Na 2.3102 2.6455 -0.8838
Na 6.5951 2.3102 0.8838
Na 2.3102 1.9748 2.6514
Na -1.9748 2.3102 4.4190
V 4.6203 0.0000 1.7676
V 0.0000 0.0000 3.5352
```

Output
The total magnetization comes out at 4.558 μB per formula unit. As for the space group: I-42d (122). As for the density of states at the Fermi level: 1.74 states/eV per atom.


*b*
Material: KNa2V
Method: DFT, PBE-GGA
State: optimized geometry

```
4
Lattice="0.0000 4.1099 4.1099 4.1099 0.0000 4.1099 4.1099 4.1099 0.0000" Properties=species:S:1:pos:R:3 pbc="T T T"
K 0.0000 0.0000 0.0000
Na 2.0550 2.0550 2.0550
Na 6.1649 6.1649 6.1649
V 4.1099 4.1099 4.1099
```

Output
The total magnetization comes out at 4.656 μB per formula unit. As for the space group: Fm-3m (225). As for the density of states at the Fermi level: 1.97 states/eV per atom.


Verdict on stability: *a* comes out at the bottom.